A geometry-optimized Cs3MoOs structure, computed with GGA-PBE.

As for the density of states at the Fermi level: 0.4300 states/eV per atom. Its total energy is -14.5 eV per formula unit. Its space group is Pm-3m. The value obtained for the density is 4867 kg/m³.

Cell: 6.160 6.160 6.160 Å, 90.00 90.00 90.00°
Sites, in units of the cell vectors:
Cs (0.000, 0.000, 0.500)
Cs (0.000, 0.500, 0.000)
Cs (0.500, 0.000, 0.000)
Mo (0.500, 0.500, 0.500)
Os (0.000, 0.000, 0.000)